GeBiAs3 | PBE | optimized geometry

a b c (Å): 5.417 5.417 5.417
angles (deg): 90.00 90.00 90.00
Space group Pm-3m (No. 221)
One atom of each set of equivalent atoms:
Ge (0.000, 0.000, 0.000)
Bi (0.500, 0.500, 0.500)
As (0.000, 0.500, 0.500)

Summary:
For the energy of formation from the pure elements, the calculation gives 1205 meV/atom. For the size of the total moment, the calculation gives 0.000 μB/f.u. The value obtained for the total energy is -3.2848 eV/atom.